1.
Compound: CsRbH3
Source: Alexandria via LeMat-Bulk
Functional: GGA-PBEsol
Structure: optimized geometry

a b c (Å): 5.0707 5.0707 5.0707
angles (deg): 90.00 90.00 90.00
Last column: nearest neighbours and their distance in Å.
Fractional coordinates of all 5 atoms:
Cs1 0.0000 0.0000 0.0000  12 H 3.59
Rb1 0.5000 0.5000 0.5000  6 H 2.54
H1 0.0000 0.5000 0.5000  2 Rb 2.54
H2 0.5000 0.0000 0.5000  2 Rb 2.54
H3 0.5000 0.5000 0.0000  2 Rb 2.54

Properties
The final energy is -10.00 eV per cell.

---

2.
Compound: CsRb2H
Source: Alexandria via LeMat-Bulk
Functional: GGA-PBEsol
Structure: optimized geometry

a b c (Å): 6.9478 6.9478 6.9478
angles (deg): 60.00 60.00 60.00
Last column: nearest neighbours and their distance in Å.
Fractional coordinates of all 4 atoms:
Cs1 0.0000 0.0000 0.0000  8 Rb 4.25
Rb1 0.2500 0.2500 0.2500  4 H 4.25, 4 Cs 4.25
Rb2 0.7500 0.7500 0.7500  4 H 4.25, 4 Cs 4.25
H1 0.5000 0.5000 0.5000  8 Rb 4.25

Properties
The final energy is -4.69 eV per cell.

---

3.
Compound: CsRb2TeH
Source: Alexandria via LeMat-Bulk
Functional: GGA-PBEsol
Structure: optimized geometry

a b c (Å): 5.5728 5.5728 5.7265
angles (deg): 90.00 90.00 90.00
Last column: nearest neighbours and their distance in Å.
Fractional coordinates of all 5 atoms:
Cs1 0.0000 0.0000 0.0000  2 H 2.86
Rb1 0.0000 0.5000 0.5000  2 H 2.79
Rb2 0.5000 0.0000 0.5000  2 H 2.79
Te1 0.5000 0.5000 0.0000  4 Cs 3.94, 8 Rb 4.00
H1 0.0000 0.0000 0.5000  4 Rb 2.79, 2 Cs 2.86

Properties
The final energy is -13.11 eV per cell.